Record 1
Here is an optimized crystal structure of NbOs2N2 from the Alexandria database. Energies are from PBE.

Output
**Calculated volume**: 12.19 A^3/atom
**Raw total energy**: -46.027 eV/f.u.
**Distance to the lowest polymorph of the same formula**: 0 meV per atom

abc: 3.755 3.755 5.072
angles: 68.27 68.27 90.00
Element x y z (fractional)
Nb 0.000 0.000 0.000
Os 0.349 0.349 0.302
Os 0.651 0.651 0.698
N 0.750 0.250 0.500
N 0.250 0.750 0.500

---

Record 2
Here is an optimized crystal structure of Er2ThScSe4 from the Alexandria database. Energies are from PBE.

Output
**Calculated volume**: 23.54 A^3/atom
**Raw total energy**: -49.575 eV/f.u.

abc: 4.004 6.999 7.102
angles: 71.09 90.00 90.00
Element x y z (fractional)
Er 0.000 0.000 0.000
Er 0.500 0.000 0.500
Th 0.000 0.500 0.500
Sc 0.500 0.500 0.000
Se 0.000 0.748 0.763
Se 0.000 0.252 0.237
Se 0.500 0.758 0.234
Se 0.500 0.242 0.766

---

Record 3
Here is an optimized crystal structure of AcHgH from the Alexandria database. Energies are from PBE.

Output
**Calculated volume**: 23.00 A^3/atom
**Raw total energy**: -9.292 eV/f.u.
**Distance to the lowest polymorph of the same formula**: 0 meV per atom

abc: 4.321 6.371 7.124
angles: 101.83 107.71 47.61
Element x y z (fractional)
H 0.994 0.251 0.990
H 0.006 0.749 0.010
Ac 0.592 0.250 0.184
Ac 0.408 0.750 0.816
Hg 0.316 0.250 0.632
Hg 0.684 0.750 0.368

---

Record 4
Here is an optimized crystal structure of TaTi2Pb from the Alexandria database. Energies are from PBE.

Output
**DFT formation energy**: 2.53 eV/f.u.
**Calculated volume**: 20.49 A^3/atom
**Raw total energy**: -28.824 eV/f.u.

abc: 7.578 7.578 6.071
angles: 51.38 51.38 90.00
Element x y z (fractional)
Pb 0.000 0.000 0.000
Pb 0.750 0.250 0.500
Ti 0.607 0.125 0.250
Ti 0.143 0.625 0.250
Ti 0.375 0.393 0.750
Ti 0.875 0.857 0.750
Ta 0.500 0.500 0.000
Ta 0.250 0.750 0.500

---

Q: Which of these has the lowest calculated volume?
A: NbOs2N2